# RbSb3As, relaxed, DFT PBE
data_RbSb3As
_cell_length_a 5.927
_cell_length_b 5.927
_cell_length_c 5.927
_cell_angle_alpha 90.00
_cell_angle_beta 90.00
_cell_angle_gamma 90.00
_space_group_name_H-M_alt 'P 1'
_space_group_IT_number 1
_space_group_name_Hall 'P 1'
loop_
_atom_site_label
_atom_site_fract_x
_atom_site_fract_y
_atom_site_fract_z
_atom_site_occupancy
Sb1 0.000 0.500 0.000 1
Sb2 0.000 0.000 0.500 1
Sb3 0.500 0.000 0.000 1
As1 0.500 0.500 0.500 1
Rb1 0.000 0.000 0.000 1
# - Final energy: -1.826 eV per atom
# - Formation energy without anion corrections: 1.771 eV/atom
# - Symmetry: Pm-3m (221)
# - Mass density: 4.19 g/cm3

***

# Er6AgPd5, relaxed, DFT PBE
data_Er6AgPd5
_cell_length_a 7.146
_cell_length_b 7.240
_cell_length_c 6.686
_cell_angle_alpha 57.22
_cell_angle_beta 82.35
_cell_angle_gamma 75.77
_space_group_name_H-M_alt 'P 1'
_space_group_IT_number 1
_space_group_name_Hall 'P 1'
loop_
_atom_site_label
_atom_site_fract_x
_atom_site_fract_y
_atom_site_fract_z
_atom_site_occupancy
Er1 0.718 0.102 0.355 1
Er2 0.282 0.542 0.355 1
Er3 0.209 0.299 0.000 1
Er4 0.791 0.701 0.000 1
Er5 0.718 0.458 0.645 1
Er6 0.282 0.898 0.645 1
Ag1 0.000 0.000 0.000 1
Pd1 0.500 0.128 0.745 1
Pd2 0.000 0.298 0.403 1
Pd3 0.500 0.500 0.000 1
Pd4 0.000 0.702 0.597 1
Pd5 0.500 0.872 0.255 1
# - Final energy: -5.355 eV per atom
# - Symmetry: C2/m (12)
# - Mass density: 9.68 g/cm3
# - Energy of formation: -0.67 eV per atom

***

# Si2As2Br, relaxed, DFT PBE
data_Si2As2Br
_cell_length_a 4.096
_cell_length_b 4.096
_cell_length_c 7.210
_cell_angle_alpha 73.50
_cell_angle_beta 73.50
_cell_angle_gamma 90.00
_space_group_name_H-M_alt 'P 1'
_space_group_IT_number 1
_space_group_name_Hall 'P 1'
loop_
_atom_site_label
_atom_site_fract_x
_atom_site_fract_y
_atom_site_fract_z
_atom_site_occupancy
As1 0.365 0.365 0.270 1
As2 0.635 0.635 0.730 1
Si1 0.750 0.250 0.500 1
Si2 0.250 0.750 0.500 1
Br1 0.000 0.000 0.000 1
# - Final energy: -4.282 eV per atom
# - Formation energy without anion corrections: 0.081 eV/atom
# - Symmetry: I4/mmm (139)
# - Mass density: 4.29 g/cm3

***

# Li2Cu3Au8, relaxed, DFT PBE
data_Li2Cu3Au8
_cell_length_a 5.081
_cell_length_b 7.427
_cell_length_c 7.082
_cell_angle_alpha 121.63
_cell_angle_beta 82.05
_cell_angle_gamma 90.00
_space_group_name_H-M_alt 'P 1'
_space_group_IT_number 1
_space_group_name_Hall 'P 1'
loop_
_atom_site_label
_atom_site_fract_x
_atom_site_fract_y
_atom_site_fract_z
_atom_site_occupancy
Li1 0.257 0.207 0.415 1
Li2 0.743 0.793 0.585 1
Cu1 0.500 0.000 0.000 1
Cu2 0.000 0.172 0.000 1
Cu3 0.000 0.828 0.000 1
Au1 0.065 0.605 0.211 1
Au2 0.935 0.395 0.789 1
Au3 0.767 0.187 0.374 1
Au4 0.233 0.813 0.626 1
Au5 0.457 0.574 0.768 1
Au6 0.457 0.194 0.768 1
Au7 0.543 0.806 0.232 1
Au8 0.543 0.426 0.232 1
# - Final energy: -3.346 eV per atom
# - Symmetry: C2/m (12)
# - Mass density: 13.17 g/cm3
# - Energy of formation: -0.09 eV per atom

***

# SrGa3Br12, relaxed, DFT PBE
data_SrGa3Br12
_cell_length_a 11.758
_cell_length_b 11.758
_cell_length_c 13.427
_cell_angle_alpha 64.03
_cell_angle_beta 64.03
_cell_angle_gamma 60.00
_space_group_name_H-M_alt 'P 1'
_space_group_IT_number 1
_space_group_name_Hall 'P 1'
loop_
_atom_site_label
_atom_site_fract_x
_atom_site_fract_y
_atom_site_fract_z
_atom_site_occupancy
Sr1 0.053 0.053 0.841 1
Sr2 0.553 0.553 0.341 1
Ga1 0.716 0.345 0.999 1
Ga2 0.216 0.440 0.499 1
Ga3 0.845 0.216 0.499 1
Ga4 0.345 0.940 0.999 1
Ga5 0.940 0.716 0.999 1
Ga6 0.440 0.845 0.499 1
Br1 0.110 0.089 0.039 1
Br2 0.250 0.231 0.650 1
Br3 0.985 0.999 0.473 1
Br4 0.894 0.385 0.829 1
Br5 0.394 0.392 0.329 1
Br6 0.485 0.043 0.973 1
Br7 0.750 0.369 0.150 1
Br8 0.999 0.543 0.473 1
Br9 0.610 0.262 0.539 1
Br10 0.869 0.250 0.650 1
Br11 0.885 0.394 0.329 1
Br12 0.262 0.589 0.539 1
Br13 0.043 0.499 0.973 1
Br14 0.762 0.110 0.039 1
Br15 0.385 0.892 0.829 1
Br16 0.369 0.731 0.150 1
Br17 0.731 0.750 0.150 1
Br18 0.499 0.485 0.973 1
Br19 0.589 0.610 0.539 1
Br20 0.892 0.894 0.829 1
Br21 0.392 0.885 0.329 1
Br22 0.089 0.762 0.039 1
Br23 0.231 0.869 0.650 1
Br24 0.543 0.985 0.473 1
# - Final energy: -2.893 eV per atom
# - Formation energy without anion corrections: -0.966 eV/atom
# - Symmetry: R3c (161)
# - Mass density: 3.01 g/cm3

***

# PaCdHgO5, relaxed, DFT PBE
data_PaCdHgO5
_cell_length_a 6.209
_cell_length_b 6.209
_cell_length_c 8.595
_cell_angle_alpha 109.49
_cell_angle_beta 109.49
_cell_angle_gamma 96.04
_space_group_name_H-M_alt 'P 1'
_space_group_IT_number 1
_space_group_name_Hall 'P 1'
loop_
_atom_site_label
_atom_site_fract_x
_atom_site_fract_y
_atom_site_fract_z
_atom_site_occupancy
Pa1 0.000 0.000 0.500 1
Pa2 0.000 0.000 0.000 1
Cd1 0.301 0.699 0.250 1
Cd2 0.699 0.301 0.750 1
Hg1 0.669 0.331 0.250 1
Hg2 0.331 0.669 0.750 1
O1 0.054 0.946 0.250 1
O2 0.946 0.054 0.750 1
O3 0.751 0.216 0.013 1
O4 0.249 0.784 0.987 1
O5 0.784 0.249 0.487 1
O6 0.216 0.751 0.513 1
O7 0.684 0.732 0.356 1
O8 0.316 0.268 0.644 1
O9 0.268 0.316 0.144 1
O10 0.732 0.684 0.856 1
# - Final energy: -6.155 eV per atom
# - Formation energy without anion corrections: -1.717 eV/atom
# - Symmetry: C2/c (15)
# - Mass density: 7.26 g/cm3

***

# PuPaSnOs, relaxed, DFT PBE
data_PuPaSnOs
_cell_length_a 4.923
_cell_length_b 4.923
_cell_length_c 4.923
_cell_angle_alpha 60.00
_cell_angle_beta 60.00
_cell_angle_gamma 60.00
_space_group_name_H-M_alt 'P 1'
_space_group_IT_number 1
_space_group_name_Hall 'P 1'
loop_
_atom_site_label
_atom_site_fract_x
_atom_site_fract_y
_atom_site_fract_z
_atom_site_occupancy
Pa1 0.000 0.000 0.000 1
Os1 0.250 0.250 0.250 1
Sn1 0.500 0.500 0.500 1
Pu1 0.750 0.750 0.750 1
# - Final energy: -9.875 eV per atom
# - Symmetry: F-43m (216)
# - Mass density: 15.43 g/cm3
# - Energy of formation: -0.11 eV per atom

***

# NaCd4Pd2, relaxed, DFT PBE
data_NaCd4Pd2
_cell_length_a 5.150
_cell_length_b 5.150
_cell_length_c 7.900
_cell_angle_alpha 70.98
_cell_angle_beta 70.98
_cell_angle_gamma 90.00
_space_group_name_H-M_alt 'P 1'
_space_group_IT_number 1
_space_group_name_Hall 'P 1'
loop_
_atom_site_label
_atom_site_fract_x
_atom_site_fract_y
_atom_site_fract_z
_atom_site_occupancy
Na1 0.000 0.000 0.000 1
Pd1 0.407 0.407 0.187 1
Pd2 0.593 0.593 0.813 1
Cd1 0.217 0.217 0.567 1
Cd2 0.783 0.783 0.433 1
Cd3 0.000 0.500 0.000 1
Cd4 0.500 0.000 0.000 1
# - Final energy: -1.917 eV per atom
# - Symmetry: I4/mmm (139)
# - Mass density: 6.12 g/cm3
# - Energy of formation: 0.28 eV per atom

***

# WAuCl, relaxed, DFT PBE
data_WAuCl
_cell_length_a 8.172
_cell_length_b 7.885
_cell_length_c 2.974
_cell_angle_alpha 84.82
_cell_angle_beta 73.93
_cell_angle_gamma 21.25
_space_group_name_H-M_alt 'P 1'
_space_group_IT_number 1
_space_group_name_Hall 'P 1'
loop_
_atom_site_label
_atom_site_fract_x
_atom_site_fract_y
_atom_site_fract_z
_atom_site_occupancy
Au1 0.021 0.021 0.979 1
Cl1 0.302 0.302 0.698 1
W1 0.677 0.677 0.323 1
# - Final energy: -5.600 eV per atom
# - Formation energy without anion corrections: 0.426 eV/atom
# - Symmetry: Fmm2 (42)
# - Mass density: 11.81 g/cm3

***

# Tb12Pm2Ho5, relaxed, DFT PBE
data_Tb12Pm2Ho5
_cell_length_a 9.225
_cell_length_b 12.407
_cell_length_c 8.550
_cell_angle_alpha 132.62
_cell_angle_beta 90.00
_cell_angle_gamma 111.82
_space_group_name_H-M_alt 'P 1'
_space_group_IT_number 1
_space_group_name_Hall 'P 1'
loop_
_atom_site_label
_atom_site_fract_x
_atom_site_fract_y
_atom_site_fract_z
_atom_site_occupancy
Tb1 0.092 0.184 0.301 1
Tb2 0.025 0.689 0.931 1
Tb3 0.664 0.689 0.931 1
Tb4 0.182 0.747 0.404 1
Tb5 0.566 0.747 0.404 1
Tb6 0.559 0.119 0.786 1
Tb7 0.441 0.881 0.214 1
Tb8 0.818 0.253 0.596 1
Tb9 0.434 0.253 0.596 1
Tb10 0.975 0.311 0.069 1
Tb11 0.336 0.311 0.069 1
Tb12 0.908 0.816 0.699 1
Pm1 0.681 0.000 0.000 1
Pm2 0.319 0.000 0.000 1
Ho1 0.302 0.604 0.616 1
Ho2 0.231 0.462 0.888 1
Ho3 0.000 0.000 0.500 1
Ho4 0.769 0.538 0.112 1
Ho5 0.698 0.396 0.384 1
# - Final energy: -4.498 eV per atom
# - Symmetry: C2/m (12)
# - Mass density: 8.07 g/cm3
# - Energy of formation: 0.13 eV per atom